Below is a geometry-optimized V2GaFeO6 structure, with properties calculated at the PBE with a Hubbard U level.

Cell lengths 5.067, 5.136, 5.512 Å; angles 61.99, 62.91, 61.18 degrees
Fractional positions:
1 V 0.515 0.511 0.449
2 V 0.013 0.009 0.949
3 Ga 0.297 0.317 0.076
4 Fe 0.806 0.810 0.574
5 O 0.608 0.239 0.234
6 O 0.222 0.921 0.237
7 O 0.916 0.615 0.234
8 O 0.393 0.726 0.756
9 O 0.752 0.129 0.748
10 O 0.140 0.384 0.757

Computed properties:
The calculation puts the total magnetic moment at 0.699 μB per atom. Its total energy is -7.1681 eV/atom.